Computed, not measured: a relaxed CrCdIr2 crystal at the PBE level of DFT.

Cell: 9.1377 2.8249 4.8892 Å, 90.00 102.30 90.00°
Last column: nearest neighbours and their distance in Å.
Space group C2/m (No. 12)
Inequivalent atoms, fractional coordinates:
1 Cr 0.0000 0.0000 0.0000 x2  6 Ir 2.62-2.86, 4 Cd 2.82, 2 Cr 2.82
2 Cd 0.0000 0.5000 0.5000 x2  6 Ir 2.77-2.86, 4 Cr 2.82, 2 Cd 2.82
3 Ir 0.2366 0.5000 0.2282 x4  3 Cr 2.62-2.86, 4 Ir 2.70-2.82, 3 Cd 2.77-2.86

Computed properties:
Fermi-level density of states = 5.9 states/eV per cell
Crystal system = monoclinic
Formation energy from the elements = 0.14 eV/atom